<a>
{
  "formula": "PrZr2",
  "functional": "GGA-PBE",
  "state": "optimized geometry",
  "vol_a3_per_cell": 316.0,
  "cell": [[3.292, 0.000, 0.000], [0.000, 5.484, 0.000], [0.000, 0.000, 17.505]],
  "species": ["Pr", "Pr", "Pr", "Pr", "Zr", "Zr", "Zr", "Zr", "Zr", "Zr", "Zr", "Zr"],
  "fractional_positions": [[0.250, 0.250, 0.133], [0.250, 0.750, 0.367], [0.750, 0.250, 0.633], [0.750, 0.750, 0.867], [0.250, 0.250, 0.463], [0.250, 0.250, 0.801], [0.250, 0.750, 0.037], [0.250, 0.750, 0.699], [0.750, 0.250, 0.301], [0.750, 0.250, 0.963], [0.750, 0.750, 0.199], [0.750, 0.750, 0.537]]
}


<b>
{
  "formula": "PrZr2",
  "functional": "GGA-PBE",
  "state": "optimized geometry",
  "vol_a3_per_cell": 162.9,
  "cell": [[5.337, -2.848, 0.000], [5.337, 2.848, 0.000], [0.000, 0.000, 5.358]],
  "species": ["Pr", "Pr", "Zr", "Zr", "Zr", "Zr"],
  "fractional_positions": [[0.202, 0.798, 0.750], [0.798, 0.202, 0.250], [0.152, 0.474, 0.250], [0.474, 0.152, 0.750], [0.526, 0.848, 0.250], [0.848, 0.526, 0.750]]
}


Winner for stability: <b>


<a>
{
  "formula": "PrZr2",
  "functional": "GGA-PBE",
  "state": "optimized geometry",
  "vol_a3_per_cell": 320.3,
  "cell": [[5.403, 0.000, 0.000], [0.000, 10.087, 0.000], [0.000, 0.000, 5.878]],
  "species": ["Pr", "Pr", "Pr", "Pr", "Zr", "Zr", "Zr", "Zr", "Zr", "Zr", "Zr", "Zr"],
  "fractional_positions": [[0.250, 0.086, 0.092], [0.250, 0.414, 0.092], [0.750, 0.586, 0.908], [0.750, 0.914, 0.908], [0.250, 0.250, 0.595], [0.250, 0.594, 0.563], [0.250, 0.750, 0.101], [0.250, 0.906, 0.563], [0.750, 0.094, 0.437], [0.750, 0.250, 0.899], [0.750, 0.406, 0.437], [0.750, 0.750, 0.405]]
}


<b>
{
  "formula": "PrZr2",
  "functional": "GGA-PBE",
  "state": "optimized geometry",
  "vol_a3_per_cell": 644.7,
  "cell": [[8.944, 0.000, 0.000], [0.000, 5.379, 0.000], [-2.459, 0.000, 13.402]],
  "species": ["Pr", "Pr", "Pr", "Pr", "Pr", "Pr", "Pr", "Pr", "Zr", "Zr", "Zr", "Zr", "Zr", "Zr", "Zr", "Zr", "Zr", "Zr", "Zr", "Zr", "Zr", "Zr", "Zr", "Zr"],
  "fractional_positions": [[0.112, 0.250, 0.261], [0.146, 0.250, 0.771], [0.229, 0.750, 0.412], [0.251, 0.750, 0.142], [0.749, 0.250, 0.858], [0.771, 0.250, 0.588], [0.854, 0.750, 0.229], [0.888, 0.750, 0.739], [0.097, 0.250, 0.004], [0.107, 0.250, 0.519], [0.224, 0.750, 0.645], [0.231, 0.750, 0.911], [0.432, 0.250, 0.952], [0.435, 0.250, 0.664], [0.456, 0.250, 0.428], [0.490, 0.250, 0.190], [0.510, 0.750, 0.810], [0.544, 0.750, 0.572], [0.565, 0.750, 0.336], [0.568, 0.750, 0.048], [0.769, 0.250, 0.089], [0.776, 0.250, 0.355], [0.893, 0.750, 0.481], [0.903, 0.750, 0.996]]
}


<c>
{
  "formula": "PrZr2",
  "functional": "GGA-PBE",
  "state": "optimized geometry",
  "vol_a3_per_cell": 160.4,
  "cell": [[5.854, 0.000, 0.000], [-2.927, 5.070, 0.000], [0.000, 0.000, 5.405]],
  "species": ["Pr", "Pr", "Zr", "Zr", "Zr", "Zr"],
  "fractional_positions": [[0.333, 0.667, 0.000], [0.667, 0.333, 0.000], [0.000, 0.000, 0.000], [0.000, 0.693, 0.500], [0.307, 0.307, 0.500], [0.693, 0.000, 0.500]]
}


Winner for stability: <b>


<a>
{
  "formula": "PrZr2",
  "functional": "GGA-PBE",
  "state": "optimized geometry",
  "vol_a3_per_cell": 428.8,
  "cell": [[0.000, 5.985, 5.985], [5.985, 0.000, 5.985], [5.985, 5.985, 0.000]],
  "species": ["Pr", "Pr", "Zr", "Zr", "Zr", "Zr"],
  "fractional_positions": [[0.125, 0.125, 0.125], [0.875, 0.875, 0.875], [0.000, 0.000, 0.000], [0.000, 0.000, 0.500], [0.000, 0.500, 0.000], [0.500, 0.000, 0.000]]
}


<b>
{
  "formula": "PrZr2",
  "functional": "GGA-PBE",
  "state": "optimized geometry",
  "vol_a3_per_cell": 162.8,
  "cell": [[1.662, -9.125, 0.000], [1.662, 9.125, 0.000], [0.000, 0.000, 5.367]],
  "species": ["Pr", "Pr", "Zr", "Zr", "Zr", "Zr"],
  "fractional_positions": [[0.060, 0.940, 0.750], [0.940, 0.060, 0.250], [0.274, 0.726, 0.250], [0.370, 0.630, 0.750], [0.630, 0.370, 0.250], [0.726, 0.274, 0.750]]
}


Winner for stability: <b>


<a>
{
  "formula": "Pr2Zr",
  "functional": "GGA-PBE",
  "state": "optimized geometry",
  "vol_a3_per_cell": 494.7,
  "cell": [[0.000, 6.277, 6.277], [6.277, 0.000, 6.277], [6.277, 6.277, 0.000]],
  "species": ["Pr", "Pr", "Pr", "Pr", "Zr", "Zr"],
  "fractional_positions": [[0.000, 0.000, 0.000], [0.000, 0.000, 0.500], [0.000, 0.500, 0.000], [0.500, 0.000, 0.000], [0.125, 0.125, 0.125], [0.875, 0.875, 0.875]]
}


<b>
{
  "formula": "Pr2Zr",
  "functional": "GGA-PBE",
  "state": "optimized geometry",
  "vol_a3_per_cell": 187.7,
  "cell": [[0.000, 4.544, 4.544], [4.544, 0.000, 4.544], [4.544, 4.544, 0.000]],
  "species": ["Pr", "Pr", "Pr", "Pr", "Zr", "Zr"],
  "fractional_positions": [[0.000, 0.000, 0.000], [0.000, 0.000, 0.500], [0.000, 0.500, 0.000], [0.500, 0.000, 0.000], [0.375, 0.375, 0.375], [0.625, 0.625, 0.625]]
}


Winner for stability: <b>


<a>
{
  "formula": "Pr3Zr4",
  "functional": "GGA-PBE",
  "state": "optimized geometry",
  "vol_a3_per_cell": 392.0,
  "cell": [[9.152, 0.000, 0.000], [-4.576, 7.926, 0.000], [0.000, 0.000, 5.404]],
  "species": ["Pr", "Pr", "Pr", "Pr", "Pr", "Pr", "Zr", "Zr", "Zr", "Zr", "Zr", "Zr", "Zr", "Zr"],
  "fractional_positions": [[0.066, 0.801, 0.250], [0.199, 0.265, 0.250], [0.265, 0.066, 0.750], [0.735, 0.934, 0.250], [0.801, 0.735, 0.750], [0.934, 0.199, 0.750], [0.111, 0.601, 0.750], [0.333, 0.667, 0.250], [0.399, 0.511, 0.750], [0.489, 0.889, 0.750], [0.511, 0.111, 0.250], [0.601, 0.489, 0.250], [0.667, 0.333, 0.750], [0.889, 0.399, 0.250]]
}


<b>
{
  "formula": "Pr3Zr4",
  "functional": "GGA-PBE",
  "state": "optimized geometry",
  "vol_a3_per_cell": 394.1,
  "cell": [[9.109, 0.000, 0.000], [-4.555, 7.889, 0.000], [0.000, 0.000, 5.484]],
  "species": ["Pr", "Pr", "Pr", "Pr", "Pr", "Pr", "Zr", "Zr", "Zr", "Zr", "Zr", "Zr", "Zr", "Zr"],
  "fractional_positions": [[0.095, 0.460, 0.250], [0.365, 0.905, 0.250], [0.460, 0.365, 0.750], [0.540, 0.635, 0.250], [0.635, 0.095, 0.750], [0.905, 0.540, 0.750], [0.052, 0.218, 0.750], [0.166, 0.948, 0.750], [0.218, 0.166, 0.250], [0.333, 0.667, 0.750], [0.667, 0.333, 0.250], [0.782, 0.834, 0.750], [0.834, 0.052, 0.250], [0.948, 0.782, 0.250]]
}


Winner for stability: <a>